DFT (PBE with a Hubbard U) results for a relaxed structure of V2GaPbO8.

The value obtained for the uncorrected energy is -6.692 eV/atom. The total magnetization is 0.00 μB per formula unit. For the mass density, the calculation gives 4.80 g/cm3.

It has space group P-3m1 (No. 164), with a = 5.6770 Å, b = 5.6770 Å, c = 6.2863 Å, α = 90.00°, β = 90.00° and γ = 120.00°. The asymmetric unit holds V at (0.3333, 0.6667, 0.2733), Ga at (0.0000, 0.0000, 0.0000), Pb at (0.0000, 0.0000, 0.5000), O at (0.1584, 0.3168, 0.1971) and O at (0.3333, 0.6667, 0.5351).